[1]
The following is a DFT calculation (PBE-GGA) of an optimized crystal structure of MgI2OF.

Computed properties:
**E_form (uncorrected)**: 0.21 eV per atom
**Energy relative to the lowest polymorph listed for this composition**: 660.9 meV/atom
**Calculated total energy**: -2.10 eV/atom

Cell lengths 5.183, 5.183, 4.023 Å; angles 90.00, 90.00, 90.00 degrees
Space group P4/mmm (No. 123)
Unique sites:
Mg: 0.000 0.000 0.000 [1 per cell]
I: 0.000 0.500 0.500 [2 per cell]
O: 0.500 0.500 0.000 [1 per cell]
F: 0.500 0.500 0.500 [1 per cell]



[2]
The following is a DFT calculation (PBE-GGA) of an optimized crystal structure of MgReI2F.

Computed properties:
**E_form (uncorrected)**: 0.86 eV per atom
**Calculated total energy**: -2.95 eV/atom

Cell lengths 5.499, 5.499, 5.786 Å; angles 90.00, 90.00, 90.00 degrees
Space group P4/mmm (No. 123)
Unique sites:
Mg: 0.000 0.000 0.000 [1 per cell]
Re: 0.000 0.000 0.500 [1 per cell]
I: 0.000 0.500 0.000 [2 per cell]
F: 0.500 0.500 0.500 [1 per cell]



[3]
The following is a DFT calculation (PBE-GGA) of an optimized crystal structure of MgSbI2F.

Computed properties:
**E_form (uncorrected)**: -0.11 eV per atom
**Energy relative to the lowest polymorph listed for this composition**: 248.2 meV/atom
**Calculated total energy**: -2.24 eV/atom

Cell lengths 5.472, 5.472, 5.658 Å; angles 90.00, 90.00, 90.00 degrees
Space group P4/mmm (No. 123)
Unique sites:
Mg: 0.000 0.000 0.000 [1 per cell]
Sb: 0.000 0.000 0.500 [1 per cell]
I: 0.000 0.500 0.000 [2 per cell]
F: 0.500 0.500 0.500 [1 per cell]



[4]
The following is a DFT calculation (PBE-GGA) of an optimized crystal structure of MgSbI2F.

Computed properties:
**E_form (uncorrected)**: -0.35 eV per atom
**Energy relative to the lowest polymorph listed for this composition**: 0.0 meV/atom
**Calculated total energy**: -2.49 eV/atom

Cell lengths 5.944, 5.944, 4.251 Å; angles 90.00, 90.00, 90.00 degrees
Space group P4/mmm (No. 123)
Unique sites:
Mg: 0.000 0.000 0.000 [1 per cell]
Sb: 0.500 0.500 0.000 [1 per cell]
I: 0.000 0.500 0.500 [2 per cell]
F: 0.500 0.500 0.500 [1 per cell]



[5]
The following is a DFT calculation (PBE-GGA) of an optimized crystal structure of MgTe2IF.

Computed properties:
**E_form (uncorrected)**: -0.25 eV per atom
**Energy relative to the lowest polymorph listed for this composition**: 0.0 meV/atom
**Calculated total energy**: -2.51 eV/atom

Cell lengths 4.672, 4.672, 6.668 Å; angles 90.00, 90.00, 90.00 degrees
Space group P4/mmm (No. 123)
Unique sites:
Mg: 0.000 0.000 0.000 [1 per cell]
Te: 0.000 0.500 0.500 [2 per cell]
I: 0.500 0.500 0.000 [1 per cell]
F: 0.500 0.500 0.500 [1 per cell]



[6]
The following is a DFT calculation (PBE-GGA) of an optimized crystal structure of MgTe2IF.

Computed properties:
**E_form (uncorrected)**: -0.01 eV per atom
**Energy relative to the lowest polymorph listed for this composition**: 232.3 meV/atom
**Calculated total energy**: -2.27 eV/atom

Cell lengths 5.465, 5.465, 5.507 Å; angles 90.00, 90.00, 90.00 degrees
Space group P4/mmm (No. 123)
Unique sites:
Mg: 0.000 0.000 0.000 [1 per cell]
Te: 0.000 0.500 0.000 [2 per cell]
I: 0.000 0.000 0.500 [1 per cell]
F: 0.500 0.500 0.500 [1 per cell]



[7]
The following is a DFT calculation (PBE-GGA) of an optimized crystal structure of MgTl2I2F2.

Computed properties:
**E_form (uncorrected)**: -1.61 eV per atom
**Calculated total energy**: -3.50 eV/atom

Cell lengths 4.518, 4.518, 18.544 Å; angles 90.00, 90.00, 90.00 degrees
Space group I4/mmm (No. 139)
Unique sites:
Mg: 0.000 0.000 0.000 [2 per cell]
Tl: 0.000 0.000 0.391 [4 per cell]
I: 0.000 0.000 0.162 [4 per cell]
F: 0.000 0.500 0.000 [4 per cell]



E_form (uncorrected) of number 1 (MgI2OF)? 0.21 eV per atom